The following is a DFT calculation (PBE) of a relaxed Cs2UTl2Se6 crystal.

total energy	-4.303	eV per atom
formation energy from raw total energies	-790	meV per atom
DOS(E_F)	0.438	states/eV per atom

Cell: 7.3320 7.3320 8.9829 Å, 99.34 99.34 117.69°
Positions (direct):
Cs  0.1757  0.8243  0.0000
Cs  0.8243  0.1757  0.0000
U  0.0000  0.0000  0.5000
Tl  0.3279  0.6721  0.5000
Tl  0.6721  0.3279  0.5000
Se  0.0721  0.3649  0.6946
Se  0.2326  0.2326  0.3210
Se  0.3649  0.0721  0.6946
Se  0.6351  0.9279  0.3054
Se  0.7674  0.7674  0.6790
Se  0.9279  0.6351  0.3054

=====

The following is a DFT calculation (PBE) of a relaxed La2CdInSe5 crystal.

total energy	-4.683	eV per atom
formation energy from raw total energies	-1246	meV per atom
DOS(E_F)	0.399	states/eV per atom

Cell: 9.1505 9.1505 12.6110 Å, 90.00 90.00 152.88°
Positions (direct):
La  0.1143  0.8857  0.5000
La  0.1351  0.8649  0.1178
La  0.8649  0.1351  0.6178
La  0.8857  0.1143  0.0000
Cd  0.2145  0.7855  0.8278
Cd  0.7855  0.2145  0.3278
In  0.4509  0.5491  0.2769
In  0.5491  0.4509  0.7769
Se  0.0482  0.9518  0.8997
Se  0.2848  0.7152  0.4826
Se  0.3118  0.6882  0.1673
Se  0.3683  0.6317  0.8123
Se  0.4946  0.5054  0.5811
Se  0.5054  0.4946  0.0811
Se  0.6317  0.3683  0.3123
Se  0.6882  0.3118  0.6673
Se  0.7152  0.2848  0.9826
Se  0.9518  0.0482  0.3997